The following is a PBE calculation of an optimized crystal structure of HfSF, from Alexandria.

Unit cell a=9.3742 b=3.4376 c=6.6053 alpha=90.00 beta=119.73 gamma=90.00
Fractional positions:
Hf  0.1617  0.0000  0.2063
Hf  0.3383  0.5000  0.7937
Hf  0.6617  0.5000  0.2063
Hf  0.8383  0.0000  0.7937
S  0.0807  0.5000  0.8635
S  0.4193  0.0000  0.1365
S  0.5807  0.0000  0.8635
S  0.9193  0.5000  0.1365
F  0.1863  0.0000  0.5641
F  0.3137  0.5000  0.4359
F  0.6863  0.5000  0.5641
F  0.8137  0.0000  0.4359

Properties
Raw formation energy   -2.27 eV/atom
Symmetry   No. 12
Magnetization   0.00 μB per formula unit


The following is a PBE calculation of an optimized crystal structure of HfS2F4, from Alexandria.

Unit cell a=3.5542 b=3.5558 c=9.6434 alpha=81.65 beta=81.44 gamma=89.42
Fractional positions:
Hf  0.0000  0.0000  0.0000
S  0.1734  0.1696  0.5324
S  0.8266  0.8304  0.4676
F  0.0495  0.5481  0.8770
F  0.4507  0.9516  0.1230
F  0.5493  0.0484  0.8770
F  0.9505  0.4519  0.1230

Properties
Raw formation energy   -2.51 eV/atom
Symmetry   No. 2
Magnetization   0.00 μB per formula unit


The following is a PBE calculation of an optimized crystal structure of Hf2SF, from Alexandria.

Unit cell a=6.5319 b=6.5319 c=6.1498 alpha=90.00 beta=90.00 gamma=90.00
Fractional positions:
Hf  0.2022  0.2500  0.1250
Hf  0.2500  0.7022  0.3750
Hf  0.2500  0.7978  0.8750
Hf  0.2978  0.2500  0.6250
Hf  0.7022  0.7500  0.6250
Hf  0.7500  0.2022  0.8750
Hf  0.7500  0.2978  0.3750
Hf  0.7978  0.7500  0.1250
S  0.0000  0.0000  0.5000
S  0.0000  0.5000  0.7500
S  0.5000  0.0000  0.2500
S  0.5000  0.5000  0.0000
F  0.0000  0.0000  0.0000
F  0.0000  0.5000  0.2500
F  0.5000  0.0000  0.7500
F  0.5000  0.5000  0.5000

Properties
Raw formation energy   -1.08 eV/atom
Symmetry   No. 122
Magnetization   0.00 μB per formula unit
Polymorph energy (0 for the lowest one)   0.000 eV per atom


The following is a PBE calculation of an optimized crystal structure of Hf3SF, from Alexandria.

Unit cell a=4.4686 b=4.4686 c=4.4686 alpha=90.00 beta=90.00 gamma=90.00
Fractional positions:
Hf  0.0000  0.0000  0.5000
Hf  0.0000  0.5000  0.0000
Hf  0.5000  0.0000  0.0000
S  0.5000  0.5000  0.5000
F  0.0000  0.0000  0.0000

Properties
Raw formation energy   -0.20 eV/atom
Symmetry   No. 221
Magnetization   0.16 μB per formula unit
Polymorph energy (0 for the lowest one)   0.000 eV per atom


The following is a PBE calculation of an optimized crystal structure of HfS3F, from Alexandria.

Unit cell a=4.8713 b=4.8713 c=4.8713 alpha=90.00 beta=90.00 gamma=90.00
Fractional positions:
Hf  0.0000  0.0000  0.0000
S  0.0000  0.0000  0.5000
S  0.0000  0.5000  0.0000
S  0.5000  0.0000  0.0000
F  0.5000  0.5000  0.5000

Properties
Raw formation energy   -0.39 eV/atom
Symmetry   No. 221
Magnetization   0.00 μB per formula unit
Polymorph energy (0 for the lowest one)   0.000 eV per atom


The following is a PBE calculation of an optimized crystal structure of Hf2SF, from Alexandria.

Unit cell a=6.2237 b=6.2237 c=6.2237 alpha=90.00 beta=90.00 gamma=90.00
Fractional positions:
Hf  0.2500  0.2500  0.2500
Hf  0.2500  0.2500  0.7500
Hf  0.2500  0.7500  0.2500
Hf  0.2500  0.7500  0.7500
Hf  0.7500  0.2500  0.2500
Hf  0.7500  0.2500  0.7500
Hf  0.7500  0.7500  0.2500
Hf  0.7500  0.7500  0.7500
S  0.0000  0.0000  0.0000
S  0.0000  0.5000  0.5000
S  0.5000  0.0000  0.5000
S  0.5000  0.5000  0.0000
F  0.0000  0.0000  0.5000
F  0.0000  0.5000  0.0000
F  0.5000  0.0000  0.0000
F  0.5000  0.5000  0.5000

Properties
Raw formation energy   -1.06 eV/atom
Symmetry   No. 225
Magnetization   0.00 μB per formula unit
Polymorph energy (0 for the lowest one)   0.022 eV per atom


The following is a PBE calculation of an optimized crystal structure of Hf2ScSF, from Alexandria.

Unit cell a=4.4820 b=4.4820 c=4.3931 alpha=90.00 beta=90.00 gamma=90.00
Fractional positions:
Hf  0.0000  0.5000  0.0000
Hf  0.5000  0.0000  0.0000
Sc  0.0000  0.0000  0.5000
S  0.5000  0.5000  0.5000
F  0.0000  0.0000  0.0000

Properties
Raw formation energy   -0.40 eV/atom
Symmetry   No. 123
Magnetization   0.00 μB per formula unit


The following is a PBE calculation of an optimized crystal structure of SrHfSF2, from Alexandria.

Unit cell a=4.3208 b=4.3208 c=5.0631 alpha=90.00 beta=90.00 gamma=90.00
Fractional positions:
Sr  0.0000  0.0000  0.0000
Hf  0.5000  0.5000  0.5000
S  0.5000  0.5000  0.0000
F  0.0000  0.5000  0.5000
F  0.5000  0.0000  0.5000

Properties
Raw formation energy   -2.27 eV/atom
Symmetry   No. 123
Magnetization   0.00 μB per formula unit


The following is a PBE calculation of an optimized crystal structure of HfTlS2F, from Alexandria.

Unit cell a=8.0161 b=3.6971 c=8.6321 alpha=90.00 beta=106.88 gamma=90.00
Fractional positions:
Hf  0.1685  0.2500  0.1736
Hf  0.8315  0.7500  0.8264
Tl  0.2739  0.2500  0.6888
Tl  0.7261  0.7500  0.3112
S  0.1401  0.7500  0.3625
S  0.1705  0.7500  0.9624
S  0.8295  0.2500  0.0376
S  0.8599  0.2500  0.6375
F  0.4250  0.2500  0.2396
F  0.5750  0.7500  0.7604

Properties
Raw formation energy   -1.80 eV/atom
Symmetry   No. 11
Magnetization   0.00 μB per formula unit
Polymorph energy (0 for the lowest one)   0.000 eV per atom


The following is a PBE calculation of an optimized crystal structure of HfTlS2F, from Alexandria.

Unit cell a=5.0454 b=5.0454 c=4.2154 alpha=90.00 beta=90.00 gamma=90.00
Fractional positions:
Hf  0.0000  0.0000  0.0000
Tl  0.5000  0.5000  0.5000
S  0.0000  0.5000  0.0000
S  0.5000  0.0000  0.0000
F  0.0000  0.0000  0.5000

Properties
Raw formation energy   -1.70 eV/atom
Symmetry   No. 123
Magnetization   0.00 μB per formula unit
Polymorph energy (0 for the lowest one)   0.096 eV per atom


The following is a PBE calculation of an optimized crystal structure of HfSbF2, from Alexandria.

Unit cell a=6.3238 b=6.3238 c=6.3238 alpha=90.00 beta=90.00 gamma=90.00
Fractional positions:
Hf  0.0000  0.0000  0.0000
Hf  0.0000  0.5000  0.5000
Hf  0.5000  0.0000  0.5000
Hf  0.5000  0.5000  0.0000
Sb  0.0000  0.0000  0.5000
Sb  0.0000  0.5000  0.0000
Sb  0.5000  0.0000  0.0000
Sb  0.5000  0.5000  0.5000
F  0.2500  0.2500  0.2500
F  0.2500  0.2500  0.7500
F  0.2500  0.7500  0.2500
F  0.2500  0.7500  0.7500
F  0.7500  0.2500  0.2500
F  0.7500  0.2500  0.7500
F  0.7500  0.7500  0.2500
F  0.7500  0.7500  0.7500

Properties
Raw formation energy   -1.12 eV/atom
Symmetry   No. 225
Magnetization   0.00 μB per formula unit
Polymorph energy (0 for the lowest one)   0.758 eV per atom


The following is a PBE calculation of an optimized crystal structure of HfSbF2, from Alexandria.

Unit cell a=3.0164 b=3.0164 c=31.9240 alpha=90.00 beta=90.00 gamma=120.00
Fractional positions:
Hf  0.0000  0.0000  0.0000
Hf  0.3333  0.6667  0.6667
Hf  0.6667  0.3333  0.3333
Sb  0.0000  0.0000  0.5000
Sb  0.3333  0.6667  0.1667
Sb  0.6667  0.3333  0.8333
F  0.0000  0.0000  0.3802
F  0.0000  0.0000  0.6198
F  0.3333  0.6667  0.0468
F  0.3333  0.6667  0.2865
F  0.6667  0.3333  0.7135
F  0.6667  0.3333  0.9532

Properties
Raw formation energy   -1.78 eV/atom
Symmetry   No. 166
Magnetization   0.00 μB per formula unit
Polymorph energy (0 for the lowest one)   0.094 eV per atom